[1]
A plane-wave DFT calculation with PBE was carried out for crystalline La2MgOsPt at its relaxed geometry.

Calculated values
space group: No. 123
calculated total energy: -4.87 eV per atom
energy relative to the elements: 0.875 eV/atom

Lattice parameters (Å, degrees): 5.613 5.613 4.481 90.00 90.00 90.00
Fractional positions:
Mg: 0.000 0.000 0.000
Os: 0.000 0.000 0.500
Pt: 0.500 0.500 0.500
La: 0.000 0.500 0.000
La: 0.500 0.000 0.000

=====

[2]
A plane-wave DFT calculation with PBE was carried out for crystalline ScPCl3 at its relaxed geometry.

Calculated values
space group: No. 221
raw formation energy: 0.01 eV/atom
calculated total energy: -3.44 eV per atom
polymorph energy (0 for the lowest one): 0.9638 eV per atom

Lattice parameters (Å, degrees): 4.946 4.946 4.946 90.00 90.00 90.00
Fractional positions:
Sc: 0.500 0.500 0.500
P: 0.000 0.000 0.000
Cl: 0.000 0.500 0.000
Cl: 0.000 0.000 0.500
Cl: 0.500 0.000 0.000

=====

[3]
A plane-wave DFT calculation with PBE was carried out for crystalline Zr2UHg at its relaxed geometry.

Calculated values
space group: No. 225
calculated total energy: -6.89 eV per atom
energy relative to the elements: 0.284 eV/atom
polymorph energy (0 for the lowest one): 0.2068 eV per atom

Lattice parameters (Å, degrees): 5.015 5.015 5.015 60.00 60.00 60.00
Fractional positions:
U: 0.000 0.000 0.000
Hg: 0.500 0.500 0.500
Zr: 0.250 0.250 0.250
Zr: 0.750 0.750 0.750

=====

[4]
A plane-wave DFT calculation with PBE was carried out for crystalline CeY2TmSe4 at its relaxed geometry.

Calculated values
space group: No. 10
raw formation energy: -1.75 eV/atom
calculated total energy: -6.41 eV per atom

Lattice parameters (Å, degrees): 4.065 7.150 7.088 109.02 90.00 90.00
Fractional positions:
Ce: 0.500 0.500 0.000
Y: 0.500 0.000 0.500
Y: 0.000 0.500 0.500
Tm: 0.000 0.000 0.000
Se: 0.500 0.242 0.248
Se: 0.500 0.758 0.752
Se: 0.000 0.241 0.746
Se: 0.000 0.759 0.254

=====

[5]
A plane-wave DFT calculation with PBE was carried out for crystalline Fe2ReMo at its relaxed geometry.

Calculated values
space group: No. 99
calculated total energy: -9.92 eV per atom
energy relative to the elements: 0.136 eV/atom

Lattice parameters (Å, degrees): 2.726 2.726 7.195 90.00 90.00 90.00
Fractional positions:
Fe: 0.000 0.000 0.016
Fe: 0.500 0.500 0.225
Mo: 0.000 0.000 0.478
Re: 0.500 0.500 0.780

=====

[6]
A plane-wave DFT calculation with PBE was carried out for crystalline Ac2TbMo2N6 at its relaxed geometry.

Calculated values
space group: No. 166
raw formation energy: -0.83 eV/atom
calculated total energy: -8.51 eV per atom

Lattice parameters (Å, degrees): 5.903 5.903 7.147 65.61 65.61 60.00
Fractional positions:
Ac: 0.795 0.795 0.615
Ac: 0.205 0.205 0.385
Tb: 0.000 0.000 0.000
Mo: 0.398 0.398 0.805
Mo: 0.602 0.602 0.195
N: 0.743 0.743 0.283
N: 0.232 0.743 0.283
N: 0.743 0.232 0.283
N: 0.257 0.768 0.717
N: 0.768 0.257 0.717
N: 0.257 0.257 0.717

=====

[7]
A plane-wave DFT calculation with PBE was carried out for crystalline Cs4Cd3CuCl12 at its relaxed geometry.

Calculated values
space group: No. 229
raw formation energy: -1.36 eV/atom
calculated total energy: -2.98 eV per atom

Lattice parameters (Å, degrees): 9.092 9.092 9.092 109.47 109.47 109.47
Fractional positions:
Cs: 0.500 0.500 0.500
Cs: 0.000 0.000 0.500
Cs: 0.500 0.000 0.000
Cs: 0.000 0.500 0.000
Cd: 0.500 0.000 0.500
Cd: 0.500 0.500 0.000
Cd: 0.000 0.500 0.500
Cu: 0.000 0.000 0.000
Cl: 0.250 0.500 0.750
Cl: 0.760 0.000 0.760
Cl: 0.240 0.000 0.240
Cl: 0.750 0.500 0.250
Cl: 0.760 0.760 0.000
Cl: 0.240 0.240 0.000
Cl: 0.750 0.250 0.500
Cl: 0.250 0.750 0.500
Cl: 0.500 0.250 0.750
Cl: 0.000 0.760 0.760
Cl: 0.500 0.750 0.250
Cl: 0.000 0.240 0.240

=====

[8]
A plane-wave DFT calculation with PBE was carried out for crystalline Gd3SbO7 at its relaxed geometry.

Calculated values
space group: No. 63
raw formation energy: -2.92 eV/atom
calculated total energy: -10.29 eV per atom
polymorph energy (0 for the lowest one): 0.0000 eV per atom

Lattice parameters (Å, degrees): 6.563 6.563 7.619 90.00 90.00 109.57
Fractional positions:
Gd: 0.500 0.500 0.500
Gd: 0.500 0.500 0.000
Gd: 0.531 0.000 0.750
Gd: 0.000 0.531 0.250
Gd: 0.469 0.000 0.250
Gd: 0.000 0.469 0.750
Sb: 0.000 0.000 0.500
Sb: 0.000 0.000 0.000
O: 0.681 0.929 0.471
O: 0.929 0.681 0.529
O: 0.681 0.929 0.029
O: 0.929 0.681 0.971
O: 0.319 0.071 0.529
O: 0.071 0.319 0.471
O: 0.319 0.071 0.971
O: 0.071 0.319 0.029
O: 0.933 0.067 0.750
O: 0.067 0.933 0.250
O: 0.371 0.629 0.750
O: 0.629 0.371 0.250
O: 0.637 0.363 0.750
O: 0.363 0.637 0.250